Record 1
Compound: ZnSi2Tc
Source: the Alexandria database
Functional: GGA-PBE
Structure: relaxed

Output
- ΔE_f (raw): 5.8 kcal/mol of atoms
- VASP energy: -5.372 eV per atom
- Crystal system: orthorhombic

Cell and atoms, written as CIF:
```
data_ZnSi2Tc
_space_group_name_H-M_alt 'C m m 2'
_space_group_IT_number 35
_cell_length_a 3.134
_cell_length_b 4.616
_cell_length_c 8.126
_cell_angle_alpha 90.00
_cell_angle_beta 90.00
_cell_angle_gamma 90.00
loop_
_space_group_symop_operation_xyz
'x,y,z'
'-x,-y,z'
'-x,y,z'
'x,-y,z'
'x+1/2,y+1/2,z'
'-x+1/2,-y+1/2,z'
'-x+1/2,y+1/2,z'
'x+1/2,-y+1/2,z'
loop_
_atom_site_label
_atom_site_fract_x
_atom_site_fract_y
_atom_site_fract_z
Zn1 0.000 0.000 0.000
Si1 0.000 0.000 0.513
Si2 0.000 0.500 0.266
Tc1 0.000 0.500 0.737
```


Record 2
Compound: Ba2ZrGa
Source: the Alexandria database
Functional: GGA-PBE
Structure: relaxed

Output
- VASP energy: -3.270 eV per atom
- Crystal system: tetragonal

Cell and atoms, written as CIF:
```
data_Ba2ZrGa
_space_group_name_H-M_alt 'I -4 2 d'
_space_group_IT_number 122
_space_group_name_Hall 'I -4 2bw'
_cell_length_a 4.598
_cell_length_b 4.598
_cell_length_c 24.231
_cell_angle_alpha 90.00
_cell_angle_beta 90.00
_cell_angle_gamma 90.00
loop_
_atom_site_label
_atom_site_fract_x
_atom_site_fract_y
_atom_site_fract_z
Ba1 0.247 0.250 0.125
Zr1 0.000 0.000 0.500
Ga1 0.000 0.000 0.000
```


Record 3
Compound: Ba2TlRe
Source: the Alexandria database
Functional: GGA-PBE
Structure: relaxed

Output
- VASP energy: -3.749 eV per atom
- Crystal system: trigonal

Cell and atoms, written as CIF:
```
data_Ba2TlRe
_space_group_name_H-M_alt 'R -3 m'
_space_group_IT_number 166
_space_group_name_Hall '-R 3 2"'
_cell_length_a 3.7613
_cell_length_b 3.7613
_cell_length_c 32.3220
_cell_angle_alpha 90.00
_cell_angle_beta 90.00
_cell_angle_gamma 120.00
loop_
_atom_site_label
_atom_site_fract_x
_atom_site_fract_y
_atom_site_fract_z
Ba1 0.0000 0.0000 0.2368
Tl1 0.0000 0.0000 0.0000
Re1 0.0000 0.0000 0.5000
```


Record 4
Compound: FeRe2Pb
Source: the Alexandria database
Functional: GGA-PBE
Structure: relaxed

Output
- VASP energy: -8.452 eV per atom
- Crystal system: orthorhombic

Cell and atoms, written as CIF:
```
data_FeRe2Pb
_space_group_name_H-M_alt 'I m m 2'
_space_group_IT_number 44
_cell_length_a 4.089
_cell_length_b 4.147
_cell_length_c 7.625
_cell_angle_alpha 90.00
_cell_angle_beta 90.00
_cell_angle_gamma 90.00
loop_
_space_group_symop_operation_xyz
'x,y,z'
'-x,-y,z'
'-x,y,z'
'x,-y,z'
'x+1/2,y+1/2,z+1/2'
'-x+1/2,-y+1/2,z+1/2'
'-x+1/2,y+1/2,z+1/2'
'x+1/2,-y+1/2,z+1/2'
loop_
_atom_site_label
_atom_site_fract_x
_atom_site_fract_y
_atom_site_fract_z
Fe1 0.000 0.000 0.000
Re1 0.000 0.000 0.504
Re2 0.000 0.500 0.235
Pb1 0.000 0.500 0.751
```